Entry 1:
# Tb2NdSm2Dy2 | Alexandria | GGA-PBE | optimized geometry
# ΔE_f: 10 kJ/mol of formula units
# volume: 32.74 Å³/atom
# crystal system: monoclinic
# M_tot: 0.000 μB/f.u.
data_Tb2NdSm2Dy2
_space_group_name_H-M_alt 'C 1 2/m 1'
_space_group_IT_number 12
_space_group_name_Hall '-C 2y'
_cell_length_a 11.3418
_cell_length_b 5.0783
_cell_length_c 8.0364
_cell_angle_alpha 90.00
_cell_angle_beta 98.04
_cell_angle_gamma 90.00
loop_
_atom_site_label
_atom_site_type_symbol
_atom_site_fract_x
_atom_site_fract_y
_atom_site_fract_z
_atom_site_occupancy
Tb1 Tb 0.1431 0.0000 0.4300 1
Nd1 Nd 0.0000 0.0000 0.0000 1
Sm1 Sm 0.0718 0.5000 0.7142 1
Dy1 Dy 0.2144 0.5000 0.1441 1

Entry 2:
# TbNd5SmDy2 | Alexandria | GGA-PBE | optimized geometry
# ΔE_f: 124 kJ/mol of formula units
# volume: 34.69 Å³/atom
# crystal system: orthorhombic
# M_tot: 0.000 μB/f.u.
data_TbNd5SmDy2
_space_group_name_H-M_alt 'C m c 21'
_space_group_IT_number 36
_space_group_name_Hall 'C 2c -2'
_cell_length_a 5.6879
_cell_length_b 20.4527
_cell_length_c 10.7342
_cell_angle_alpha 90.00
_cell_angle_beta 90.00
_cell_angle_gamma 90.00
loop_
_atom_site_label
_atom_site_type_symbol
_atom_site_fract_x
_atom_site_fract_y
_atom_site_fract_z
_atom_site_occupancy
Tb1 Tb 0.0000 0.0897 0.0000 1
Nd1 Nd 0.0000 0.0202 0.2851 1
Nd2 Nd 0.0000 0.1102 0.5672 1
Nd3 Nd 0.0000 0.2034 0.2468 1
Nd4 Nd 0.0000 0.2192 0.8527 1
Nd5 Nd 0.0000 0.4836 0.5637 1
Sm1 Sm 0.0000 0.2998 0.5522 1
Dy1 Dy 0.0000 0.3836 0.8595 1
Dy2 Dy 0.0000 0.3888 0.2797 1

Entry 3:
# TbNd2Sm2Dy4 | Alexandria | GGA-PBE | optimized geometry
# ΔE_f: 1 kJ/mol of formula units
# volume: 32.92 Å³/atom
# crystal system: monoclinic
# M_tot: 0.000 μB/f.u.
data_TbNd2Sm2Dy4
_space_group_name_H-M_alt 'C 1 2/m 1'
_space_group_IT_number 12
_space_group_name_Hall '-C 2y'
_cell_length_a 18.8135
_cell_length_b 3.6264
_cell_length_c 9.6395
_cell_angle_alpha 90.00
_cell_angle_beta 115.72
_cell_angle_gamma 90.00
loop_
_atom_site_label
_atom_site_type_symbol
_atom_site_fract_x
_atom_site_fract_y
_atom_site_fract_z
_atom_site_occupancy
Tb1 Tb 0.0000 0.0000 0.0000 1
Nd1 Nd 0.1655 0.5000 0.0007 1
Sm1 Sm 0.1471 0.0000 0.6631 1
Dy1 Dy 0.0193 0.5000 0.3327 1
Dy2 Dy 0.1851 0.0000 0.3354 1

Entry 4:
# TbNdSm4Dy2 | Alexandria | GGA-PBE | optimized geometry
# ΔE_f: 314 kJ/mol of formula units
# volume: 33.88 Å³/atom
# crystal system: monoclinic
# M_tot: 0.085 μB/f.u.
data_TbNdSm4Dy2
_space_group_name_H-M_alt 'C 1 2/c 1'
_space_group_IT_number 15
_space_group_name_Hall '-C 2yc'
_cell_length_a 13.7081
_cell_length_b 13.2997
_cell_length_c 6.8695
_cell_angle_alpha 90.00
_cell_angle_beta 120.04
_cell_angle_gamma 90.00
loop_
_atom_site_label
_atom_site_type_symbol
_atom_site_fract_x
_atom_site_fract_y
_atom_site_fract_z
_atom_site_occupancy
Tb1 Tb 0.0000 0.0000 0.0000 1
Nd1 Nd 0.2500 0.2500 0.0000 1
Sm1 Sm 0.0002 0.2506 0.9998 1
Sm2 Sm 0.2503 0.0017 0.5249 1
Dy1 Dy 0.0000 0.5000 0.0000 1
Dy2 Dy 0.2500 0.2500 0.5000 1

Entry 5:
# TbNd2Sm4Dy | Alexandria | GGA-PBE | optimized geometry
# ΔE_f: 11 kJ/mol of formula units
# volume: 33.57 Å³/atom
# crystal system: monoclinic
# M_tot: 0.000 μB/f.u.
data_TbNd2Sm4Dy
_space_group_name_H-M_alt 'P 1 2/m 1'
_space_group_IT_number 10
_space_group_name_Hall '-P 2y'
_cell_length_a 5.1168
_cell_length_b 5.1273
_cell_length_c 10.2376
_cell_angle_alpha 90.00
_cell_angle_beta 90.12
_cell_angle_gamma 90.00
loop_
_atom_site_label
_atom_site_type_symbol
_atom_site_fract_x
_atom_site_fract_y
_atom_site_fract_z
_atom_site_occupancy
Tb1 Tb 0.0000 0.0000 0.0000 1
Nd1 Nd 0.0000 0.0000 0.5000 1
Nd2 Nd 0.5000 0.5000 0.0000 1
Sm1 Sm 0.0003 0.5000 0.2506 1
Sm2 Sm 0.5000 0.0000 0.2497 1
Dy1 Dy 0.5000 0.5000 0.5000 1

Entry 6:
# Tb2NdSm6Dy | Alexandria | GGA-PBE | optimized geometry
# ΔE_f: 113 kJ/mol of formula units
# volume: 33.72 Å³/atom
# crystal system: monoclinic
# M_tot: 0.000 μB/f.u.
data_Tb2NdSm6Dy
_space_group_name_H-M_alt 'C 1 2/c 1'
_space_group_IT_number 15
_space_group_name_Hall '-C 2yc'
_cell_length_a 9.2178
_cell_length_b 15.2425
_cell_length_c 9.6796
_cell_angle_alpha 90.00
_cell_angle_beta 97.42
_cell_angle_gamma 90.00
loop_
_atom_site_label
_atom_site_type_symbol
_atom_site_fract_x
_atom_site_fract_y
_atom_site_fract_z
_atom_site_occupancy
Tb1 Tb 0.2494 0.0503 0.4541 1
Nd1 Nd 0.0000 0.4744 0.2500 1
Sm1 Sm 0.0635 0.3173 0.9446 1
Sm2 Sm 0.0988 0.1083 0.1192 1
Sm3 Sm 0.2102 0.2757 0.3151 1
Dy1 Dy 0.0000 0.0906 0.7500 1

Question: Look up the M_tot of the second one.
Answer: 0.000 μB/f.u.

Question: Which formula does entry 4 have?
Answer: TbNdSm4Dy2

Question: The highest ΔE_f belongs to which entry?
Answer: TbNdSm4Dy2